## SmMg4Hg2 (GGA-PBE)

Data for a relaxed structure of SmMg4Hg2.

```
SmMg4Hg2
1.0
8.432 0.000 0.000
0.000 8.432 0.000
0.000 0.000 4.644
Sm Mg Hg
2 8 4
direct
0.000 0.000 0.000 Sm
0.500 0.500 0.500 Sm
0.094 0.343 0.500 Mg
0.157 0.594 0.000 Mg
0.343 0.094 0.500 Mg
0.406 0.843 0.000 Mg
0.594 0.157 0.000 Mg
0.657 0.906 0.500 Mg
0.843 0.406 0.000 Mg
0.906 0.657 0.500 Mg
0.213 0.787 0.500 Hg
0.287 0.287 0.000 Hg
0.713 0.713 0.000 Hg
0.787 0.213 0.500 Hg
```

Raw total energy: -26.9 eV per cell

=====

## SmMg2Hg9 (GGA-PBE)

Data for a relaxed structure of SmMg2Hg9.

```
SmMg2Hg9
1.0
4.667 0.000 0.000
0.000 4.667 0.000
0.000 0.000 13.131
Sm Mg Hg
1 2 9
direct
0.000 0.000 0.000 Sm
0.000 0.000 0.340 Mg
0.000 0.000 0.660 Mg
0.000 0.500 0.176 Hg
0.000 0.500 0.500 Hg
0.000 0.500 0.824 Hg
0.500 0.000 0.176 Hg
0.500 0.000 0.500 Hg
0.500 0.000 0.824 Hg
0.500 0.500 0.000 Hg
0.500 0.500 0.339 Hg
0.500 0.500 0.661 Hg
```

Raw total energy: -12.7 eV per cell

=====

## Sm2MgHg8 (GGA-PBE)

Data for a relaxed structure of Sm2MgHg8.

```
Sm2MgHg8
1.0
4.667 0.000 0.000
0.000 4.667 0.000
0.000 0.000 12.794
Sm Mg Hg
2 1 8
direct
0.000 0.000 0.188 Sm
0.000 0.000 0.812 Sm
0.000 0.000 0.500 Mg
0.000 0.500 0.000 Hg
0.000 0.500 0.366 Hg
0.000 0.500 0.634 Hg
0.500 0.000 0.000 Hg
0.500 0.000 0.366 Hg
0.500 0.000 0.634 Hg
0.500 0.500 0.182 Hg
0.500 0.500 0.818 Hg
```

Raw total energy: -16.6 eV per cell

=====

## Sm2Mg3Hg (GGA-PBE)

Data for a relaxed structure of Sm2Mg3Hg.

```
Sm2Mg3Hg
1.0
3.413 0.000 0.000
0.000 5.153 0.000
0.000 0.000 8.893
Sm Mg Hg
2 3 1
direct
0.000 0.000 0.000 Sm
0.000 0.500 0.481 Sm
0.500 0.000 0.657 Mg
0.500 0.500 0.156 Mg
0.500 0.500 0.821 Mg
0.500 0.000 0.326 Hg
```

Raw total energy: -15.7 eV per cell

=====

## SmMg5Hg6 (GGA-PBE)

Data for a relaxed structure of SmMg5Hg6.

```
SmMg5Hg6
1.0
2.460 -7.398 0.000
2.460 7.398 0.000
0.000 0.000 7.393
Sm Mg Hg
1 5 6
direct
0.000 0.000 0.000 Sm
0.000 0.000 0.500 Mg
0.332 0.668 0.000 Mg
0.332 0.668 0.500 Mg
0.668 0.332 0.000 Mg
0.668 0.332 0.500 Mg
0.172 0.828 0.253 Hg
0.172 0.828 0.747 Hg
0.500 0.500 0.268 Hg
0.500 0.500 0.732 Hg
0.828 0.172 0.253 Hg
0.828 0.172 0.747 Hg
```

Raw total energy: -17.9 eV per cell

=====

## Sm6Mg5Hg (GGA-PBE)

Data for a relaxed structure of Sm6Mg5Hg.

```
Sm6Mg5Hg
1.0
2.712 -8.147 0.000
2.712 8.147 0.000
0.000 0.000 7.655
Sm Mg Hg
6 5 1
direct
0.000 0.000 0.248 Sm
0.000 0.000 0.752 Sm
0.335 0.665 0.251 Sm
0.335 0.665 0.749 Sm
0.665 0.335 0.251 Sm
0.665 0.335 0.749 Sm
0.168 0.832 0.500 Mg
0.172 0.828 0.000 Mg
0.500 0.500 0.500 Mg
0.828 0.172 0.000 Mg
0.832 0.168 0.500 Mg
0.500 0.500 0.000 Hg
```

Raw total energy: -38.5 eV per cell

=====

## SmMg2Hg2 (GGA-PBE)

Data for a relaxed structure of SmMg2Hg2.

```
SmMg2Hg2
1.0
4.992 0.000 0.000
0.000 3.733 0.000
-0.003 0.000 13.015
Sm Mg Hg
2 4 4
direct
0.250 0.250 0.246 Sm
0.750 0.750 0.754 Sm
0.249 0.250 0.636 Mg
0.250 0.750 0.021 Mg
0.750 0.250 0.979 Mg
0.751 0.750 0.364 Mg
0.250 0.250 0.850 Hg
0.250 0.750 0.456 Hg
0.750 0.250 0.544 Hg
0.750 0.750 0.150 Hg
```

Raw total energy: -20.1 eV per cell

=====

## Sm3MgHg4 (GGA-PBE)

Data for a relaxed structure of Sm3MgHg4.

```
Sm3MgHg4
1.0
2.612 1.508 8.782
-2.612 1.508 8.782
0.000 -3.016 8.782
Sm Mg Hg
3 1 4
direct
0.000 0.000 0.000 Sm
0.244 0.244 0.244 Sm
0.756 0.756 0.756 Sm
0.500 0.500 0.500 Mg
0.125 0.125 0.125 Hg
0.375 0.375 0.375 Hg
0.625 0.625 0.625 Hg
0.875 0.875 0.875 Hg
```

Raw total energy: -20.6 eV per cell

=====

## Sm2Mg3Hg4 (GGA-PBE)

Data for a relaxed structure of Sm2Mg3Hg4.

```
Sm2Mg3Hg4
1.0
3.201 -8.417 0.000
3.201 8.417 0.000
0.000 0.000 8.124
Sm Mg Hg
4 6 8
direct
0.104 0.896 0.910 Sm
0.396 0.604 0.410 Sm
0.604 0.396 0.590 Sm
0.896 0.104 0.090 Sm
0.000 0.000 0.500 Mg
0.022 0.478 0.750 Mg
0.478 0.022 0.250 Mg
0.500 0.500 0.000 Mg
0.522 0.978 0.750 Mg
0.978 0.522 0.250 Mg
0.172 0.828 0.537 Hg
0.193 0.307 0.750 Hg
0.307 0.193 0.250 Hg
0.328 0.672 0.037 Hg
0.672 0.328 0.963 Hg
0.693 0.807 0.750 Hg
0.807 0.693 0.250 Hg
0.828 0.172 0.463 Hg
```

Raw total energy: -36.8 eV per cell

=====

## SmMg5Hg2 (GGA-PBE)

Data for a relaxed structure of SmMg5Hg2.

```
SmMg5Hg2
1.0
3.850 0.000 0.000
0.000 8.789 0.000
0.000 0.000 11.237
Sm Mg Hg
2 10 4
direct
0.000 0.000 0.000 Sm
0.500 0.500 0.500 Sm
0.000 0.201 0.359 Mg
0.000 0.201 0.641 Mg
0.000 0.500 0.000 Mg
0.000 0.799 0.359 Mg
0.000 0.799 0.641 Mg
0.500 0.000 0.500 Mg
0.500 0.299 0.141 Mg
0.500 0.299 0.859 Mg
0.500 0.701 0.141 Mg
0.500 0.701 0.859 Mg
0.000 0.500 0.265 Hg
0.000 0.500 0.735 Hg
0.500 0.000 0.235 Hg
0.500 0.000 0.765 Hg
```

Raw total energy: -30.3 eV per cell

=====

> What is the formula in the seventh record?

SmMg2Hg2

=====

> The highest raw total energy belongs to which entry?

SmMg2Hg9

=====

> What is the raw total energy in the first record?

-26.9 eV per cell

=====

> What is the formula in the fifth record?

SmMg5Hg6